No. 1
VASP calculation (GGA-PBE) on a relaxed SrMgSn2Hg crystal.

Properties
**DFT total energy**: -13.38 eV/cell
**Volume**: 28.75 A^3/atom
**Energy of formation**: -360 meV per atom

a = 4.704 Å, b = 4.704 Å, c = 7.299 Å
α = 108.80°, β = 108.80°, γ = 90.00°
Sites, in units of the cell vectors:
Sr 0.000 0.000 0.000
Mg 0.750 0.250 0.500
Hg 0.250 0.750 0.500
Sn 0.612 0.612 0.223
Sn 0.388 0.388 0.777

=====

No. 2
VASP calculation (GGA-PBE) on a relaxed Hg2PtRh crystal.

Properties
**DFT total energy**: -13.21 eV/cell
**Volume**: 17.82 A^3/atom
**Energy of formation**: 195 meV per atom

a = 5.071 Å, b = 5.071 Å, c = 5.071 Å
α = 131.67°, β = 131.67°, γ = 70.75°
Sites, in units of the cell vectors:
Hg 0.250 0.750 0.500
Hg 0.000 0.000 0.000
Pt 0.500 0.500 0.000
Rh 0.750 0.250 0.500

=====

No. 3
VASP calculation (GGA-PBE) on a relaxed ReNi4Pt2 crystal.

Properties
**DFT total energy**: -93.44 eV/cell
**Volume**: 13.31 A^3/atom
**Energy of formation**: 133 meV per atom

a = 2.659 Å, b = 8.627 Å, c = 8.223 Å
α = 90.00°, β = 90.00°, γ = 98.87°
Last column: magnetic moment on the atom in μB.
Sites, in units of the cell vectors:
Ni 0.754 0.507 0.117  0.53
Ni 0.997 0.994 0.750  0.44
Ni 0.246 0.493 0.883  0.53
Ni 0.500 0.000 0.000  0.61
Ni 0.246 0.493 0.617  0.53
Ni 0.500 0.000 0.500  0.61
Ni 0.003 0.006 0.250  0.44
Ni 0.754 0.507 0.383  0.53
Pt 0.125 0.250 0.058  0.14
Pt 0.125 0.250 0.442  0.14
Pt 0.875 0.750 0.942  0.14
Pt 0.875 0.750 0.558  0.14
Re 0.627 0.254 0.750  0.09
Re 0.373 0.746 0.250  0.09

=====

What is the formula in the third record? ReNi4Pt2